Entry 1:
Below is a geometry-optimized NaSr3Mg structure, with properties calculated at the PBE level.

```
NaSr3Mg
1.0
6.541 0.000 0.000
0.000 6.541 0.000
0.000 0.000 6.541
Sr Mg Na
3 1 1
direct
0.000 0.500 0.000
0.000 0.000 0.500
0.500 0.000 0.000
0.000 0.000 0.000
0.500 0.500 0.500
```

Calculated values
distance to the lowest polymorph of the same formula: 209 meV/atom
DFT formation energy: 0.208 eV/atom
space-group type: Pm-3m (221)
theoretical density: 1.8 Mg/m³
energy: -0.1017 Ry/atom



Entry 2:
Below is a geometry-optimized Nd2SmHoSe6 structure, with properties calculated at the PBE level.

```
Nd2SmHoSe6
1.0
7.388 0.000 0.000
3.694 6.398 0.000
3.694 2.133 6.560
Nd Sm Ho Se
2 1 1 6
direct
0.519 0.519 0.442
0.018 0.018 0.947
0.817 0.817 0.550
0.319 0.319 0.043
0.602 0.210 0.254
0.210 0.933 0.254
0.933 0.602 0.254
0.424 0.707 0.757
0.707 0.112 0.757
0.112 0.424 0.757
```

Calculated values
energy relative to the elements, uncorrected: -177.6 kJ per mole of atoms
space-group type: R3 (146)
theoretical density: 5.8 Mg/m³
energy: -0.4274 Ry/atom